Here is Co3Cl after structural relaxation from the Alexandria database. Energies are from GGA-PBEsol.

Lattice parameters (Å, degrees): 2.749 2.942 6.385 90.00 90.00 90.00
Space group Pmmm (No. 47)
Inequivalent atoms, fractional coordinates:
Co: 0.000 0.000 0.000
Co: 0.500 0.500 0.203
Cl: 0.000 0.500 0.500

The uncorrected energy is -24.2 eV/f.u. For the energy relative to the lowest polymorph listed for this composition, the calculation gives 0 meV per atom. For the raw formation energy, the calculation gives 25.5 kJ per mole of atoms.

***

Here is CoCl2 after structural relaxation from the Alexandria database. Energies are from GGA-PBEsol.

Lattice parameters (Å, degrees): 3.018 3.018 12.231 90.00 90.00 90.00
Space group I4/mmm (No. 139)
Inequivalent atoms, fractional coordinates:
Co: 0.000 0.000 0.000
Cl: 0.000 0.000 0.381

The uncorrected energy is -12.1 eV/f.u. For the raw formation energy, the calculation gives -10.0 kJ per mole of atoms.

***

Here is CoCl2 after structural relaxation from the Alexandria database. Energies are from GGA-PBEsol.

Lattice parameters (Å, degrees): 3.8643 3.8643 8.7702 90.00 90.00 120.00
Space group P6_3/mmc (No. 194)
Inequivalent atoms, fractional coordinates:
Co: 0.3333 0.6667 0.2500
Cl: 0.0000 0.0000 0.0000
Cl: 0.3333 0.6667 0.7500

The uncorrected energy is -11.5 eV/f.u. For the raw formation energy, the calculation gives 9.2 kJ per mole of atoms.

***

Here is CoCl2 after structural relaxation from the Alexandria database. Energies are from GGA-PBEsol.

Lattice parameters (Å, degrees): 3.4076 3.4076 6.0624 90.00 90.00 120.00
Space group P-3m1 (No. 164)
Inequivalent atoms, fractional coordinates:
Co: 0.0000 0.0000 0.0000
Cl: 0.3333 0.6667 0.2213

The uncorrected energy is -13.3 eV/f.u. For the raw formation energy, the calculation gives -48.6 kJ per mole of atoms.

***

Here is CrCo3Cl after structural relaxation from the Alexandria database. Energies are from GGA-PBEsol.

Lattice parameters (Å, degrees): 4.024 4.024 4.024 90.00 90.00 90.00
Space group Pm-3m (No. 221)
Inequivalent atoms, fractional coordinates:
Cr: 0.000 0.000 0.000
Co: 0.000 0.500 0.500
Cl: 0.500 0.500 0.500

The uncorrected energy is -31.0 eV/f.u. For the raw formation energy, the calculation gives 86.5 kJ per mole of atoms.

***

Here is CrCo2Cl after structural relaxation from the Alexandria database. Energies are from GGA-PBEsol.

Lattice parameters (Å, degrees): 5.643 5.643 5.643 90.00 90.00 90.00
Space group F-43m (No. 216)
Inequivalent atoms, fractional coordinates:
Cr: 0.000 0.000 0.000
Co: 0.000 0.000 0.500
Co: 0.250 0.250 0.750
Cl: 0.250 0.250 0.250

The uncorrected energy is -24.8 eV/f.u. For the energy relative to the lowest polymorph listed for this composition, the calculation gives 327 meV per atom. For the raw formation energy, the calculation gives 70.2 kJ per mole of atoms.